# HgHPt2Au PBE relaxed
data_HgHPt2Au
_chemical_formula_sum 'Hg1 H1 Pt2 Au1'
_symmetry_space_group_name_H-M 'P 4/m m m'
_symmetry_Int_Tables_number 123
_symmetry_space_group_name_Hall '-P 4 2'
_cell_length_a 4.112
_cell_length_b 4.112
_cell_length_c 4.291
_cell_angle_alpha 90.00
_cell_angle_beta 90.00
_cell_angle_gamma 90.00
loop_
_atom_site_label
_atom_site_type_symbol
_atom_site_fract_x
_atom_site_fract_y
_atom_site_fract_z
_atom_site_occupancy
Hg1 Hg 0.000 0.000 0.000 1
H1 H 0.500 0.500 0.500 1
Pt1 Pt 0.000 0.500 0.500 1
Au1 Au 0.500 0.500 0.000 1
# E above lowest polymorph = 0.000 eV per atom